(1)
Tb2YF after structural relaxation. Source: the Alexandria database, functional PBE.

Summary:
Mass density: 7.01 Mg/m³
Crystal system: trigonal
Fermi-level density of states: 0.794 states/eV per atom
E_form (uncorrected): -1.15 eV per atom

The structure in POSCAR format:
```
Tb2YF
1.0
-1.552 -3.344 -0.407
1.621 -2.989 1.479
-4.358 -0.948 7.510
Y Tb F
1 2 1
direct
0.500 0.500 0.500 Y
0.722 0.722 0.833 Tb
0.278 0.278 0.167 Tb
0.000 0.000 0.000 F
```

(2)
RbHfIn after structural relaxation. Source: the Alexandria database, functional PBE.

Summary:
Mass density: 5.68 Mg/m³
Energy of formation: 0.42 eV per atom
Crystal system: orthorhombic
Fermi-level density of states: 1.166 states/eV per atom
Excess energy over the best structure of this formula in the dataset: 363 meV/atom

The structure in POSCAR format:
```
RbHfIn
1.0
-11.695 5.995 5.064
-3.132 -4.543 -1.854
0.783 -2.472 4.734
Hf Rb In
4 4 4
direct
0.500 0.250 0.998 Hf
0.000 0.750 0.498 Hf
0.500 0.750 0.002 Hf
0.000 0.250 0.502 Hf
0.750 0.250 0.252 Rb
0.750 0.750 0.752 Rb
0.250 0.750 0.748 Rb
0.250 0.250 0.248 Rb
0.000 0.000 0.000 In
0.500 0.500 0.500 In
0.500 0.000 0.500 In
0.000 0.500 0.000 In
```

(3)
ThTcB4 after structural relaxation. Source: the Alexandria database, functional PBE.

Summary:
Mass density: 9.27 Mg/m³
Energy of formation: -0.61 eV per atom
Crystal system: orthorhombic
Fermi-level density of states: 0.225 states/eV per atom
Excess energy over the best structure of this formula in the dataset: 0 meV/atom

The structure in POSCAR format:
```
ThTcB4
1.0
-0.606 -2.984 -2.180
5.615 0.510 -2.258
4.059 -7.037 8.504
Th Tc B
4 4 16
direct
0.000 0.626 0.350 Th
0.000 0.374 0.650 Th
0.000 0.126 0.150 Th
0.000 0.874 0.850 Th
0.000 0.636 0.092 Tc
0.000 0.364 0.908 Tc
0.000 0.136 0.408 Tc
0.000 0.864 0.592 Tc
0.500 0.783 0.184 B
0.500 0.217 0.816 B
0.500 0.283 0.316 B
0.500 0.717 0.684 B
0.500 0.860 0.032 B
0.500 0.140 0.968 B
0.500 0.360 0.468 B
0.500 0.640 0.532 B
0.500 0.890 0.455 B
0.500 0.110 0.545 B
0.500 0.390 0.045 B
0.500 0.610 0.955 B
0.500 0.975 0.311 B
0.500 0.025 0.689 B
0.500 0.475 0.189 B
0.500 0.525 0.811 B
```

(4)
RbIF2 after structural relaxation. Source: the Alexandria database, functional PBE.

Summary:
Mass density: 3.45 Mg/m³
Crystal system: trigonal
Fermi-level density of states: 0.000 states/eV per atom
Excess energy over the best structure of this formula in the dataset: 0 meV/atom
E_form (uncorrected): -1.88 eV per atom

The structure in POSCAR format:
```
RbIF2
1.0
2.347 1.196 6.525
5.390 2.884 3.485
1.532 5.239 4.441
I Rb F
1 1 2
direct
0.000 0.000 0.000 I
0.500 0.500 0.500 Rb
0.891 0.891 0.891 F
0.109 0.109 0.109 F
```

(5)
ReAg2Ir after structural relaxation. Source: the Alexandria database, functional PBE.

Summary:
Mass density: 15.27 Mg/m³
Energy of formation: 0.42 eV per atom
Crystal system: monoclinic
Fermi-level density of states: 0.586 states/eV per atom
Excess energy over the best structure of this formula in the dataset: 217 meV/atom

The structure in POSCAR format:
```
ReAg2Ir
1.0
4.730 0.003 -0.007
3.922 2.645 -0.007
0.682 0.209 5.169
Re Ir Ag
1 1 2
direct
0.754 0.754 0.710 Re
0.497 0.497 0.541 Ir
0.001 0.001 0.017 Ag
0.248 0.248 0.232 Ag
```

(6)
Ce2PmNdS4 after structural relaxation. Source: the Alexandria database, functional PBE.

Summary:
Mass density: 6.21 Mg/m³
Crystal system: monoclinic
Fermi-level density of states: 1.439 states/eV per atom
E_form (uncorrected): -2.04 eV per atom

The structure in POSCAR format:
```
Ce2PmNdS4
1.0
-1.131 -2.345 -3.082
6.661 -0.450 -2.102
-1.389 -5.208 4.473
Ce Pm Nd S
2 1 1 4
direct
0.500 0.000 0.500 Ce
0.000 0.500 0.500 Ce
0.500 0.500 0.000 Pm
0.000 0.000 0.000 Nd
0.500 0.252 0.252 S
0.500 0.748 0.748 S
0.000 0.251 0.749 S
0.000 0.749 0.251 S
```

(7)
ReSb2Br after structural relaxation. Source: the Alexandria database, functional PBE.

Summary:
Mass density: 7.62 Mg/m³
Crystal system: monoclinic
Fermi-level density of states: 0.592 states/eV per atom
Excess energy over the best structure of this formula in the dataset: 10 meV/atom
E_form (uncorrected): 0.22 eV per atom

The structure in POSCAR format:
```
ReSb2Br
1.0
4.295 0.011 -0.064
2.927 3.143 -0.064
-2.212 -0.966 8.291
Re Br Sb
1 1 2
direct
0.750 0.750 0.750 Re
0.250 0.250 0.250 Br
0.101 0.101 0.915 Sb
0.399 0.399 0.585 Sb
```